# 1
Entry from the Alexandria database: a relaxed Tb5Ho6In crystal (GGA-PBE).

```
data_Tb5Ho6In
_chemical_formula_sum 'Tb10 Ho12 In2'
_cell_length_a 4.928
_cell_length_b 9.923
_cell_length_c 14.941
_cell_angle_alpha 90.00
_cell_angle_beta 90.00
_cell_angle_gamma 90.00
_symmetry_space_group_name_H-M 'I m m m'
_symmetry_Int_Tables_number 71
_symmetry_space_group_name_Hall '-I 2 2'
loop_
_atom_site_label
_atom_site_fract_x
_atom_site_fract_y
_atom_site_fract_z
Tb1 0.000 0.000 0.000
Tb2 0.000 0.000 0.333
Tb3 0.000 0.500 0.337
Ho1 0.000 0.244 0.500
Ho2 0.000 0.254 0.166
In1 0.000 0.500 0.000
```

Output
Its energy relative to the elements is -63 kJ/mol of formula units. The calculation puts the density of states at the Fermi level at 32.86 states/eV/cell. The calculation puts the volume at 730.6 Å³ per cell.

=====

# 2
Entry from the Alexandria database: a relaxed Tb4Ho3In2 crystal (GGA-PBE).

```
data_Tb4Ho3In2
_chemical_formula_sum 'Tb8 Ho6 In4'
_cell_length_a 12.437
_cell_length_b 5.293
_cell_length_c 8.408
_cell_angle_alpha 90.00
_cell_angle_beta 104.96
_cell_angle_gamma 90.00
_symmetry_space_group_name_H-M 'C 1 2/m 1'
_symmetry_Int_Tables_number 12
loop_
_symmetry_equiv_pos_as_xyz
'x,y,z'
'-x,-y,-z'
'-x,y,-z'
'x,-y,z'
'x+1/2,y+1/2,z'
'-x+1/2,-y+1/2,-z'
'-x+1/2,y+1/2,-z'
'x+1/2,-y+1/2,z'
loop_
_atom_site_label
_atom_site_fract_x
_atom_site_fract_y
_atom_site_fract_z
Tb1 0.120 0.000 0.157
Tb2 0.169 0.500 0.465
Ho1 0.000 0.000 0.500
Ho2 0.076 0.500 0.848
In1 0.211 0.000 0.818
```

Output
Its energy relative to the elements is -169 kJ/mol of formula units. The calculation puts the density of states at the Fermi level at 18.56 states/eV/cell. The calculation puts the volume at 534.7 Å³ per cell.

=====

# 3
Entry from the Alexandria database: a relaxed Tb2HoIn3Te6 crystal (GGA-PBE).

```
data_Tb2HoIn3Te6
_chemical_formula_sum 'Tb4 Ho2 In6 Te12'
_cell_length_a 7.646
_cell_length_b 13.242
_cell_length_c 8.511
_cell_angle_alpha 90.00
_cell_angle_beta 107.42
_cell_angle_gamma 90.00
_symmetry_space_group_name_H-M 'C 1 2/m 1'
_symmetry_Int_Tables_number 12
loop_
_symmetry_equiv_pos_as_xyz
'x,y,z'
'-x,-y,-z'
'-x,y,-z'
'x,-y,z'
'x+1/2,y+1/2,z'
'-x+1/2,-y+1/2,-z'
'-x+1/2,y+1/2,-z'
'x+1/2,-y+1/2,z'
loop_
_atom_site_label
_atom_site_fract_x
_atom_site_fract_y
_atom_site_fract_z
Tb1 0.000 0.167 0.000
Ho1 0.000 0.500 0.000
In1 0.000 0.000 0.500
In2 0.000 0.333 0.500
Te1 0.239 0.334 0.219
Te2 0.242 0.000 0.220
```

Output
The calculation puts the density of states at the Fermi level at 2.43 states/eV/cell. The calculation puts the volume at 822.2 Å³ per cell. The raw formation energy is -972 meV/atom.